Here is a geometry-optimized Ac2TaPdO6 structure from Alexandria. Energies are from GGA-PBE.

Lattice parameters (Å, degrees): 5.7655 5.7655 4.9127 90.00 90.00 90.00
With the nearest neighbours (Å) after each atom.
Space group P4mm (No. 99)
Inequivalent atoms, fractional coordinates:
Ac 0.0000 0.5000 0.0000 [2 per cell]  4 O 2.50
Ta 0.0000 0.0000 0.5791 [1 per cell]  5 O 1.90-1.95
Pd 0.5000 0.5000 0.5335 [1 per cell]  5 O 2.16-2.39
O 0.0000 0.0000 0.1921 [1 per cell]  1 Ta 1.90
O 0.2257 0.2257 0.7079 [4 per cell]  1 Ta 1.95
O 0.5000 0.5000 0.0936 [1 per cell]  1 Pd 2.16

Computed properties:
As for the formation energy (no corrections): -2495 meV per atom.

***

Here is a geometry-optimized Ac2TbPdO5 structure from Alexandria. Energies are from GGA-PBE.

Lattice parameters (Å, degrees): 6.9227 6.9227 6.0032 90.00 90.00 90.00
With the nearest neighbours (Å) after each atom.
Space group P4/mbm (No. 127)
Inequivalent atoms, fractional coordinates:
Ac 0.1629 0.3371 0.0000 [4 per cell]  4 O 2.32-2.59
Tb 0.0000 0.0000 0.5000 [2 per cell]  10 O 2.91-3.00
Pd 0.0000 0.5000 0.5000 [2 per cell]  4 O 2.14
O 0.0000 0.0000 0.0000 [2 per cell]  4 Ac 2.59
O 0.1693 0.6693 0.2732 [8 per cell]  1 Pd 2.14, 1 Ac 2.32

Computed properties:
As for the formation energy (no corrections): -2312 meV per atom.

***

Copy entry 2 word for word.
Here is a geometry-optimized Ac2TbPdO5 structure from Alexandria. Energies are from GGA-PBE.

Lattice parameters (Å, degrees): 6.9227 6.9227 6.0032 90.00 90.00 90.00
With the nearest neighbours (Å) after each atom.
Space group P4/mbm (No. 127)
Inequivalent atoms, fractional coordinates:
Ac 0.1629 0.3371 0.0000 [4 per cell]  4 O 2.32-2.59
Tb 0.0000 0.0000 0.5000 [2 per cell]  10 O 2.91-3.00
Pd 0.0000 0.5000 0.5000 [2 per cell]  4 O 2.14
O 0.0000 0.0000 0.0000 [2 per cell]  4 Ac 2.59
O 0.1693 0.6693 0.2732 [8 per cell]  1 Pd 2.14, 1 Ac 2.32

Computed properties:
As for the formation energy (no corrections): -2312 meV per atom.

***

formation energy (no corrections) of number 2 (Ac2TbPdO5)? -2312 meV per atom

***

Look up the formation energy (no corrections) of the second one. -2312 meV per atom

***

formation energy (no corrections) of number 2 (Ac2TbPdO5)? -2312 meV per atom